[1]
Here is an optimized crystal structure of TiFeCuGe from Alexandria via LeMat-Bulk. Energies are from PBE.

## Properties
Magnetic moment = 0.87 μB per cell
ΔH_f (0 K) = -0.8 eV per formula unit

Cell lengths 4.194, 4.194, 4.194 Å; angles 60.00, 60.00, 60.00 degrees
Fractional coordinates of all 4 atoms:
1 Ge 0.250 0.250 0.250
2 Ti 0.750 0.750 0.750
3 Cu 0.500 0.500 0.500
4 Fe 0.000 0.000 0.000

[2]
Here is an optimized crystal structure of CaSc2Br from Alexandria via LeMat-Bulk. Energies are from PBE.

## Properties
Magnetic moment = 0.63 μB per cell
ΔE_f (raw) = -0.118 eV per atom

Cell lengths 6.566, 4.221, 4.221 Å; angles 90.00, 90.00, 90.00 degrees
Fractional coordinates of all 4 atoms:
1 Sc 0.000 0.000 0.000
2 Br 0.500 0.500 0.000
3 Ca 0.500 0.000 0.500
4 Sc 0.000 0.500 0.500

[3]
Here is an optimized crystal structure of LiTbLuPt from Alexandria via LeMat-Bulk. Energies are from PBE.

## Properties
Magnetic moment = 0.00 μB per cell
ΔH_f (0 K) = -2.8 eV per formula unit

Cell lengths 4.935, 4.935, 4.935 Å; angles 60.00, 60.00, 60.00 degrees
Fractional coordinates of all 4 atoms:
1 Tb 0.000 0.000 0.000
2 Lu 0.500 0.500 0.500
3 Pt 0.750 0.750 0.750
4 Li 0.250 0.250 0.250

What did the first record say?
Here is an optimized crystal structure of TiFeCuGe from Alexandria via LeMat-Bulk. Energies are from PBE.

## Properties
Magnetic moment = 0.87 μB per cell
ΔH_f (0 K) = -0.8 eV per formula unit

Cell lengths 4.194, 4.194, 4.194 Å; angles 60.00, 60.00, 60.00 degrees
Fractional coordinates of all 4 atoms:
1 Ge 0.250 0.250 0.250
2 Ti 0.750 0.750 0.750
3 Cu 0.500 0.500 0.500
4 Fe 0.000 0.000 0.000

- Among the records above, which one has the lowest magnetic moment?
  LiTbLuPt

- Among the records above, which one has the lowest magnetic moment?
  LiTbLuPt